# 1
LaMg2Ag2Hg2: relaxed, PBE-GGA.

Energy relative to the elements ... -0.26 eV per atom
D(E_F) ... 4.55 states/eV/f.u.
Total energy ... -16.24 eV for the cell shown

a b c (Å): 4.7684 4.7684 8.7224
angles (deg): 74.14 74.14 60.00
Closest atoms and distances in Å follow each position.
Fractional coordinates of all 7 atoms:
Hg  0.2631  0.2631  0.2107  3 Ag 2.91, 4 Mg 3.05-3.25, 3 La 3.26
Hg  0.7369  0.7369  0.7893  3 Ag 2.91, 4 Mg 3.05-3.25, 3 La 3.26
Mg  0.1402  0.1402  0.5795  3 Ag 2.87, 3 Mg 3.05, 1 Hg 3.05
Mg  0.8598  0.8598  0.4205  3 Ag 2.87, 3 Mg 3.05, 1 Hg 3.05
La  0.0000  0.0000  0.0000  6 Hg 3.26, 2 Mg 3.48
Ag  0.4415  0.4415  0.6754  3 Mg 2.87, 1 Ag 2.90, 3 Hg 2.91
Ag  0.5585  0.5585  0.3246  3 Mg 2.87, 1 Ag 2.90, 3 Hg 2.91

---

# 2
LaMg2AgHg2: relaxed, PBE-GGA.

Energy relative to the elements ... -0.36 eV per atom
D(E_F) ... 3.22 states/eV/f.u.
Total energy ... -13.73 eV for the cell shown

a b c (Å): 4.8447 4.8447 7.0043
angles (deg): 90.00 90.00 120.00
Closest atoms and distances in Å follow each position.
Fractional coordinates of all 6 atoms:
La  0.0000  0.0000  0.0000  6 Hg 3.24, 2 Ag 3.50
Ag  0.0000  0.0000  0.5000  6 Mg 2.99
Hg  0.6667  0.3333  0.7664  4 Mg 2.91-2.93, 3 La 3.24
Hg  0.3333  0.6667  0.2336  4 Mg 2.91-2.93, 3 La 3.24
Mg  0.6667  0.3333  0.3486  4 Hg 2.91-2.93, 3 Ag 2.99
Mg  0.3333  0.6667  0.6514  4 Hg 2.91-2.93, 3 Ag 2.99

---

# 3
LaMg2AgHg: relaxed, PBE-GGA.

Energy relative to the elements ... 0.88 eV per atom
D(E_F) ... 6.60 states/eV/f.u.
Total energy ... -6.85 eV for the cell shown

a b c (Å): 6.5160 5.7765 6.5160
angles (deg): 90.00 90.00 90.00
Closest atoms and distances in Å follow each position.
Fractional coordinates of all 5 atoms:
Mg  0.0000  0.0000  0.5000  2 La 3.26
Mg  0.5000  0.0000  0.0000  2 La 3.26
Ag  0.0000  0.5000  0.0000  2 La 2.89
La  0.0000  0.0000  0.0000  2 Ag 2.89
Hg  0.5000  0.5000  0.5000  8 Mg 4.35, 4 Ag 4.61

---

# 4
La2AgHgN: relaxed, PBE-GGA.

D(E_F) ... 3.36 states/eV/f.u.
E_form (uncorrected) ... -0.55 eV/atom
Total energy ... -24.09 eV for the cell shown

a b c (Å): 5.0784 5.0784 4.5709
angles (deg): 90.00 90.00 90.00
Closest atoms and distances in Å follow each position.
Fractional coordinates of all 5 atoms:
Hg  0.5000  0.5000  0.5000  8 La 3.42, 4 Ag 3.59
Ag  0.0000  0.0000  0.5000  2 N 2.29
La  0.0000  0.5000  0.0000  2 N 2.54
La  0.5000  0.0000  0.0000  2 N 2.54
N  0.0000  0.0000  0.0000  2 Ag 2.29, 4 La 2.54

---

# 5
NaLaAgHg: relaxed, PBE-GGA.

Energy relative to the elements ... -0.27 eV per atom
D(E_F) ... 3.00 states/eV/f.u.
Total energy ... -10.47 eV for the cell shown

a b c (Å): 5.3013 5.3013 5.3013
angles (deg): 60.00 60.00 60.00
Closest atoms and distances in Å follow each position.
Fractional coordinates of all 4 atoms:
Hg  0.0000  0.0000  0.0000  4 Na 3.25, 4 La 3.25
Na  0.7500  0.7500  0.7500  4 Ag 3.25, 4 Hg 3.25
La  0.2500  0.2500  0.2500  4 Ag 3.25, 4 Hg 3.25
Ag  0.5000  0.5000  0.5000  4 Na 3.25, 4 La 3.25

---

# 6
LaNbAg2Hg: relaxed, PBE-GGA.

Energy relative to the elements ... 0.77 eV per atom
D(E_F) ... 4.56 states/eV/f.u.
Total energy ... -17.14 eV for the cell shown

a b c (Å): 5.3117 5.3435 5.3117
angles (deg): 90.00 90.00 90.00
Closest atoms and distances in Å follow each position.
Fractional coordinates of all 5 atoms:
Hg  0.5000  0.5000  0.5000  4 La 3.76, 8 Ag 3.77
La  0.0000  0.5000  0.0000  2 Nb 2.67
Ag  0.5000  0.0000  0.0000  2 Nb 2.66
Ag  0.0000  0.0000  0.5000  2 Nb 2.66
Nb  0.0000  0.0000  0.0000  4 Ag 2.66, 2 La 2.67

---

# 7
LaNdAgHg: relaxed, PBE-GGA.

Energy relative to the elements ... -0.37 eV per atom
D(E_F) ... 4.14 states/eV/f.u.
Total energy ... -14.33 eV for the cell shown

a b c (Å): 3.8278 3.8278 7.6901
angles (deg): 90.00 90.00 90.00
Closest atoms and distances in Å follow each position.
Fractional coordinates of all 4 atoms:
Ag  0.0000  0.0000  0.3680  4 Nd 3.24, 4 La 3.35
Hg  0.0000  0.0000  0.8480  4 Nd 3.31, 4 La 3.38, 1 Ag 3.69
La  0.5000  0.5000  0.1115  4 Ag 3.35, 4 Hg 3.38
Nd  0.5000  0.5000  0.6004  4 Ag 3.24, 4 Hg 3.31

---

# 8
LaNdAgHg: relaxed, PBE-GGA.

Energy relative to the elements ... -0.37 eV per atom
D(E_F) ... 3.93 states/eV/f.u.
Total energy ... -14.33 eV for the cell shown

a b c (Å): 5.4236 5.4236 5.4236
angles (deg): 60.00 60.00 60.00
Closest atoms and distances in Å follow each position.
Fractional coordinates of all 4 atoms:
Nd  0.0000  0.0000  0.0000  4 Hg 3.32, 4 Ag 3.32
Hg  0.7500  0.7500  0.7500  4 Nd 3.32, 4 La 3.32
La  0.5000  0.5000  0.5000  4 Hg 3.32, 4 Ag 3.32
Ag  0.2500  0.2500  0.2500  4 La 3.32, 4 Nd 3.32

---

# 9
LaNd2AgHg4: relaxed, PBE-GGA.

Energy relative to the elements ... -0.39 eV per atom
D(E_F) ... 7.43 states/eV/f.u.
Total energy ... -21.63 eV for the cell shown

a b c (Å): 5.2082 5.2082 9.6836
angles (deg): 74.40 74.40 60.00
Closest atoms and distances in Å follow each position.
Fractional coordinates of all 8 atoms:
Hg  0.8744  0.8744  0.3769  4 Nd 3.13, 3 Ag 3.21, 1 La 3.47
Hg  0.3785  0.3785  0.8646  3 La 3.25, 3 Nd 3.30, 1 Ag 3.36
Hg  0.6215  0.6215  0.1354  3 La 3.25, 3 Nd 3.30, 1 Ag 3.36
Hg  0.1256  0.1256  0.6231  4 Nd 3.13, 3 Ag 3.21, 1 La 3.47
La  0.0000  0.0000  0.0000  8 Hg 3.25-3.47
Nd  0.2391  0.2391  0.2827  7 Hg 3.13-3.30
Nd  0.7609  0.7609  0.7173  7 Hg 3.13-3.30
Ag  0.5000  0.5000  0.5000  8 Hg 3.21-3.36

---

# 10
La2NiAgHg: relaxed, PBE-GGA.

Energy relative to the elements ... -0.21 eV per atom
D(E_F) ... 4.65 states/eV/f.u.
Total energy ... -19.84 eV for the cell shown

a b c (Å): 5.3106 5.3106 4.9314
angles (deg): 90.00 90.00 90.00
Closest atoms and distances in Å follow each position.
Fractional coordinates of all 5 atoms:
La  0.5000  0.0000  0.0000  2 Ni 2.66
La  0.0000  0.5000  0.0000  2 Ni 2.66
Hg  0.5000  0.5000  0.5000  8 La 3.62, 4 Ag 3.76
Ni  0.0000  0.0000  0.0000  2 Ag 2.47, 4 La 2.66
Ag  0.0000  0.0000  0.5000  2 Ni 2.47

---

# 11
LaNi2AgHg: relaxed, PBE-GGA.

Energy relative to the elements ... 0.66 eV per atom
D(E_F) ... 4.92 states/eV/f.u.
Total energy ... -16.33 eV for the cell shown

a b c (Å): 4.8157 5.4841 4.8157
angles (deg): 90.00 90.00 90.00
Closest atoms and distances in Å follow each position.
Fractional coordinates of all 5 atoms:
Ni  0.5000  0.0000  0.0000  2 Ag 2.41
Ni  0.0000  0.0000  0.5000  2 Ag 2.41
Ag  0.0000  0.0000  0.0000  4 Ni 2.41
La  0.0000  0.5000  0.0000  2 Ag 2.74
Hg  0.5000  0.5000  0.5000  4 La 3.41, 8 Ni 3.65

---

# 12
La2Ag2HgPd5: relaxed, PBE-GGA.

Energy relative to the elements ... -0.47 eV per atom
D(E_F) ... 3.78 states/eV/f.u.
Total energy ... -93.13 eV for the cell shown

a b c (Å): 4.1407 9.8836 9.8836
angles (deg): 90.00 90.00 90.00
Closest atoms and distances in Å follow each position.
Fractional coordinates of all 20 atoms:
La  0.0000  0.8228  0.6772  3 Ag 2.81-3.00
La  0.0000  0.3228  0.8228  3 Ag 2.81-3.00
La  0.0000  0.6772  0.1772  3 Ag 2.81-3.00
La  0.0000  0.1772  0.3228  3 Ag 2.81-3.00
Ag  0.0000  0.6217  0.8783  6 Pd 2.68-2.77, 1 La 2.81
Ag  0.0000  0.8783  0.3783  6 Pd 2.68-2.77, 1 La 2.81
Ag  0.0000  0.3783  0.1217  6 Pd 2.68-2.77, 1 La 2.81
Ag  0.0000  0.1217  0.6217  6 Pd 2.68-2.77, 1 La 2.81
Pd  0.5000  0.2021  0.0620  2 Ag 2.77, 2 Hg 2.94, 3 Pd 2.96-3.01
Pd  0.5000  0.5000  0.0000  4 Ag 2.68
Pd  0.5000  0.0620  0.7979  2 Ag 2.77, 2 Hg 2.94, 3 Pd 2.96-3.01
Pd  0.5000  0.5620  0.7021  2 Ag 2.77, 2 Hg 2.94, 3 Pd 2.96-3.01
Pd  0.5000  0.7979  0.9380  2 Ag 2.77, 2 Hg 2.94, 3 Pd 2.96-3.01
Pd  0.5000  0.0000  0.5000  4 Ag 2.68
Pd  0.5000  0.7021  0.4380  2 Ag 2.77, 2 Hg 2.94, 3 Pd 2.96-3.01
Pd  0.5000  0.2979  0.5620  2 Ag 2.77, 2 Hg 2.94, 3 Pd 2.96-3.01
Pd  0.5000  0.4380  0.2979  2 Ag 2.77, 2 Hg 2.94, 3 Pd 2.96-3.01
Pd  0.5000  0.9380  0.2021  2 Ag 2.77, 2 Hg 2.94, 3 Pd 2.96-3.01
Hg  0.0000  0.0000  0.0000  8 Pd 2.94
Hg  0.0000  0.5000  0.5000  8 Pd 2.94

---

What is the total energy in the third record?
-6.85 eV for the cell shown

---

The lowest total energy belongs to which entry?
La2Ag2HgPd5

---

The lowest total energy belongs to which entry?
La2Ag2HgPd5